LaPb2Se after structural relaxation, computed with PBE-GGA.

Lattice parameters (Å, degrees): 9.383 9.383 7.274 49.84 49.84 90.00
Sites, in units of the cell vectors:
Se 0.500 0.500 0.000
Se 0.250 0.750 0.500
Pb 0.875 0.816 0.750
Pb 0.566 0.125 0.250
Pb 0.184 0.625 0.250
Pb 0.375 0.434 0.750
La 0.000 0.000 0.000
La 0.750 0.250 0.500

Values from the calculation:
The calculation puts the density of states at the Fermi level at 5.2 states/eV/f.u. The volume comes out at 32.816 A^3/atom. Its uncorrected formation energy is -0.3916 eV per atom. Its magnetization is 0.00 μB/atom.